[1]
{
  "formula": "ErNb4Ge2",
  "functional": "PBE",
  "state": "optimized geometry",
  "cell": [[4.249, 0.000, 0.000], [0.000, 3.596, -0.792], [0.000, 0.051, 8.789]],
  "species": ["Nb", "Nb", "Ge", "Ge", "Er", "Nb", "Nb"],
  "fractional_positions": [[0.000, 0.324, 0.649], [0.000, 0.676, 0.351], [0.500, 0.572, 0.143], [0.500, 0.428, 0.857], [0.000, 0.000, 0.000], [0.500, 0.182, 0.363], [0.500, 0.818, 0.637]],
  "volume_a3_per_fu": 134,
  "delta_e_f_ev_per_atom": -0.366
}


[2]
{
  "formula": "Er2Nb3Ge4",
  "functional": "PBE",
  "state": "optimized geometry",
  "cell": [[-0.381, -6.611, 2.247], [4.388, -2.051, -5.290], [10.683, 2.117, 8.040]],
  "species": ["Ge", "Er", "Er", "Nb", "Er", "Ge", "Ge", "Nb", "Nb", "Nb", "Ge", "Nb", "Ge", "Ge", "Nb", "Er", "Nb", "Ge", "Ge", "Nb", "Ge", "Er", "Ge", "Nb", "Er", "Er", "Ge", "Nb", "Ge", "Ge", "Nb", "Ge", "Nb", "Ge", "Ge", "Er"],
  "fractional_positions": [[0.194, 0.360, 0.250], [0.004, 0.826, 0.905], [0.996, 0.174, 0.095], [0.341, 0.171, 0.873], [0.496, 0.326, 0.405], [0.306, 0.860, 0.750], [0.806, 0.640, 0.750], [0.665, 0.012, 0.750], [0.335, 0.988, 0.250], [0.165, 0.488, 0.750], [0.460, 0.620, 0.250], [0.159, 0.671, 0.127], [0.324, 0.962, 0.041], [0.676, 0.038, 0.541], [0.159, 0.671, 0.373], [0.004, 0.826, 0.595], [0.841, 0.329, 0.873], [0.960, 0.880, 0.250], [0.540, 0.380, 0.750], [0.659, 0.829, 0.127], [0.176, 0.462, 0.541], [0.996, 0.174, 0.405], [0.824, 0.538, 0.041], [0.659, 0.829, 0.373], [0.504, 0.674, 0.595], [0.496, 0.326, 0.095], [0.676, 0.038, 0.959], [0.841, 0.329, 0.627], [0.824, 0.538, 0.459], [0.694, 0.140, 0.250], [0.835, 0.512, 0.250], [0.040, 0.120, 0.750], [0.341, 0.171, 0.627], [0.324, 0.962, 0.459], [0.176, 0.462, 0.959], [0.504, 0.674, 0.905]],
  "volume_a3_per_fu": 170,
  "delta_e_f_ev_per_atom": -0.753
}